(1)
NaBrO | GGA-PBE | relaxed

abc: 3.9535 4.7434 7.1377
angles: 90.00 104.22 90.00
Fractional positions:
Na 0.1816 0.0000 0.3462
Na 0.8184 0.5000 0.6538
Br 0.4075 0.9726 0.8309
Br 0.5925 0.4726 0.1691
O 0.3111 0.2418 0.6394
O 0.6889 0.7418 0.3606

Properties
E above lowest polymorph: 145 meV/atom
ΔE_f (raw): -0.815 eV per atom
Crystal system: monoclinic
E_tot: -3.465 eV/atom

=====

(2)
LiAsHOs | GGA-PBE | relaxed

abc: 3.7339 3.1465 8.5601
angles: 90.00 90.00 90.00
Fractional positions:
Li 0.0000 0.0000 0.0000
Li 0.0000 0.5000 0.5000
As 0.5000 0.0000 0.3504
As 0.5000 0.5000 0.8504
H 0.0000 0.0000 0.6466
H 0.0000 0.5000 0.1466
Os 0.5000 0.0000 0.6397
Os 0.5000 0.5000 0.1397

Properties
Density of states at the Fermi level: 1.66 states/eV per cell
E above lowest polymorph: 88 meV/atom
Crystal system: orthorhombic
E_tot: -5.354 eV/atom

=====

(3)
MgNi2B2 | GGA-PBE | relaxed

abc: 3.4540 3.4540 8.3844
angles: 90.00 90.00 90.00
Fractional positions:
Mg 0.0000 0.0000 0.0000
Mg 0.5000 0.5000 0.5000
Ni 0.0000 0.5000 0.2500
Ni 0.0000 0.5000 0.7500
Ni 0.5000 0.0000 0.2500
Ni 0.5000 0.0000 0.7500
B 0.0000 0.0000 0.3947
B 0.0000 0.0000 0.6053
B 0.5000 0.5000 0.1053
B 0.5000 0.5000 0.8947

Properties
Calculated formation energy: -23.5 kJ/mol of atoms
Density of states at the Fermi level: 6.87 states/eV per cell
E above lowest polymorph: 0 meV/atom
Crystal system: tetragonal
E_tot: -5.546 eV/atom

=====

(4)
LiGdErTc | GGA-PBE | relaxed

abc: 6.9697 6.9697 6.9697
angles: 90.00 90.00 90.00
Fractional positions:
Li 0.0000 0.0000 0.0000
Li 0.0000 0.5000 0.5000
Li 0.5000 0.0000 0.5000
Li 0.5000 0.5000 0.0000
Gd 0.2500 0.2500 0.7500
Gd 0.2500 0.7500 0.2500
Gd 0.7500 0.2500 0.2500
Gd 0.7500 0.7500 0.7500
Er 0.2500 0.2500 0.2500
Er 0.2500 0.7500 0.7500
Er 0.7500 0.2500 0.7500
Er 0.7500 0.7500 0.2500
Tc 0.0000 0.0000 0.5000
Tc 0.0000 0.5000 0.0000
Tc 0.5000 0.0000 0.0000
Tc 0.5000 0.5000 0.5000

Properties
Calculated formation energy: -3.1 kJ/mol of atoms
Density of states at the Fermi level: 14.34 states/eV per cell
Crystal system: cubic
E_tot: -7.763 eV/atom

=====

(5)
NaPRuS2 | GGA-PBE | relaxed

abc: 4.7588 4.7588 4.7398
angles: 90.00 90.00 90.00
Fractional positions:
Na 0.0000 0.0000 0.0000
P 0.0000 0.0000 0.5000
Ru 0.5000 0.5000 0.5000
S 0.0000 0.5000 0.0000
S 0.5000 0.0000 0.0000

Properties
Density of states at the Fermi level: 6.75 states/eV per cell
E above lowest polymorph: 1539 meV/atom
ΔE_f (raw): 1.631 eV per atom
Crystal system: tetragonal
E_tot: -3.221 eV/atom

=====

(6)
La2ScHgH | GGA-PBE | relaxed

abc: 4.9200 4.9200 4.8473
angles: 90.00 90.00 90.00
Fractional positions:
La 0.0000 0.5000 0.0000
La 0.5000 0.0000 0.0000
Sc 0.0000 0.0000 0.5000
Hg 0.5000 0.5000 0.5000
H 0.0000 0.0000 0.0000

Properties
Density of states at the Fermi level: 7.92 states/eV per cell
Crystal system: tetragonal
E_tot: -4.232 eV/atom

=====

Among the records above, which one has the highest E_tot? NaPRuS2

=====

Which formula does entry 2 have? LiAsHOs

=====

Among the records above, which one has the lowest E_tot? LiGdErTc

=====

What did the third record say?
MgNi2B2 | GGA-PBE | relaxed

abc: 3.4540 3.4540 8.3844
angles: 90.00 90.00 90.00
Fractional positions:
Mg 0.0000 0.0000 0.0000
Mg 0.5000 0.5000 0.5000
Ni 0.0000 0.5000 0.2500
Ni 0.0000 0.5000 0.7500
Ni 0.5000 0.0000 0.2500
Ni 0.5000 0.0000 0.7500
B 0.0000 0.0000 0.3947
B 0.0000 0.0000 0.6053
B 0.5000 0.5000 0.1053
B 0.5000 0.5000 0.8947

Properties
Calculated formation energy: -23.5 kJ/mol of atoms
Density of states at the Fermi level: 6.87 states/eV per cell
E above lowest polymorph: 0 meV/atom
Crystal system: tetragonal
E_tot: -5.546 eV/atom